VASP calculation (PBE) on a relaxed AcPm11 crystal.

a = 11.613 Å, b = 11.613 Å, c = 3.625 Å
α = 90.00°, β = 90.00°, γ = 120.00°
Positions (direct):
Ac1 0.000 0.000 0.000
Pm1 0.000 0.500 0.000
Pm2 0.177 0.354 0.500
Pm3 0.177 0.823 0.500
Pm4 0.333 0.667 0.000
Pm5 0.354 0.177 0.500
Pm6 0.500 0.000 0.000
Pm7 0.500 0.500 0.000
Pm8 0.646 0.823 0.500
Pm9 0.667 0.333 0.000
Pm10 0.823 0.177 0.500
Pm11 0.823 0.646 0.500

energy of formation = 0.033 eV per atom
V = 423.38 Å³ per cell
Fermi-level density of states = 14.4 states/eV/f.u.
magnetization = 0.000 μB/atom